Pr2Er3TmSe6 | the Alexandria database | PBE | optimized geometry; formation energy from raw total energies = -1.7382 eV per atom; space-group type = No. 12
1.0
-1.302 -2.577 -2.869
-2.938 -5.077 5.895
-6.242 6.776 -0.366
Pr Er Tm Se
2 3 1 6
Cartesian
-7.154 -1.025 1.281
-3.329 0.146 1.380
-2.120 -3.827 1.513
-5.656 1.471 -1.641
-4.827 -2.349 4.302
-0.651 -1.289 -1.434
-7.378 -1.036 4.281
-4.612 -2.549 1.496
-3.105 0.158 -1.620
-8.189 2.893 -1.768
-2.293 -3.771 4.429
-5.871 1.670 1.165



Ca2Mn2Pb | the Alexandria database | PBE | optimized geometry; space-group type = No. 139; energy of formation from the pure elements = 0.2302 eV/atom
1.0
-5.576 -2.605 8.310
-3.631 1.437 9.575
2.773 1.736 -9.810
Ca Mn Pb
2 2 1
Cartesian
-5.738 -0.727 11.146
-3.469 -0.440 6.740
-2.731 1.295 4.354
-3.703 -0.726 3.721
0.000 0.000 0.000



GdDyCdCo | the Alexandria database | PBE | optimized geometry; space-group type = No. 216; energy of formation from the pure elements = -0.1328 eV/atom
1.0
-0.658 3.508 3.588
-1.235 -1.394 4.706
3.377 0.456 3.743
Cd Gd Co Dy
1 1 1 1
Cartesian
0.742 1.285 6.019
1.113 1.927 9.028
0.000 0.000 0.000
0.371 0.642 3.009



Number 1: total DFT energy (no corrections) -5.79 eV per atom. Number 2: total DFT energy (no corrections) -4.98 eV per atom. Number 3: total DFT energy (no corrections) -6.81 eV per atom.